Entry 1:
Compound: ScAg2Mo
Source: Alexandria via LeMat-Bulk
Functional: GGA-PBE
Structure: optimized geometry

a b c (Å): 4.043 4.053 8.809
angles (deg): 90.00 90.00 90.00
Space group Cmm2 (No. 35)
Asymmetric unit:
Sc  0.000  0.000  0.000 [2 per cell]
Ag  0.000  0.000  0.490 [2 per cell]
Ag  0.000  0.500  0.739 [2 per cell]
Mo  0.000  0.500  0.247 [2 per cell]

Energy above the most stable polymorph in this dataset = 0 meV/atom
Crystal system = orthorhombic
Formation enthalpy at 0 K = 0.1436 eV per atom
Mass density = 8.21 g/cm³

***

Entry 2:
Compound: CeSmTh
Source: Alexandria via LeMat-Bulk
Functional: GGA-PBE
Structure: optimized geometry

a b c (Å): 3.5400 3.5400 8.6704
angles (deg): 90.00 90.00 120.00
Space group P3m1 (No. 156)
Asymmetric unit:
Ce  0.0000  0.0000  0.0000 [1 per cell]
Sm  0.3333  0.6667  0.6564 [1 per cell]
Th  0.6667  0.3333  0.3171 [1 per cell]

Energy above the most stable polymorph in this dataset = 17 meV/atom
Crystal system = trigonal
Formation enthalpy at 0 K = 0.0606 eV per atom
Mass density = 9.22 g/cm³

***

Entry 3:
Compound: MgPO2F
Source: Alexandria via LeMat-Bulk
Functional: GGA-PBE
Structure: optimized geometry

a b c (Å): 4.427 4.427 3.346
angles (deg): 90.00 90.00 90.00
Space group P4/mmm (No. 123)
Asymmetric unit:
Mg  0.000  0.000  0.000 [1 per cell]
P  0.500  0.500  0.000 [1 per cell]
O  0.000  0.500  0.500 [2 per cell]
F  0.500  0.500  0.500 [1 per cell]

Electronic total energy = -3.617 eV per atom
Crystal system = tetragonal
Mass density = 2.69 g/cm³